1.
DFT (PBE) results for a relaxed structure of AcPuGe2O8.

* crystal system: tetragonal
* total moment: 3.00 Bohr magnetons per cell
* formation energy (no corrections): -2.269 eV per atom

Geometry as CIF:
```
data_AcPuGe2O8
_cell_length_a 6.142
_cell_length_b 6.142
_cell_length_c 6.142
_cell_angle_alpha 106.57
_cell_angle_beta 106.57
_cell_angle_gamma 115.44
_space_group_name_H-M_alt 'P 1'
_space_group_IT_number 1
loop_
_space_group_symop_operation_xyz
'x,y,z'
loop_
_atom_site_label
_atom_site_type_symbol
_atom_site_fract_x
_atom_site_fract_y
_atom_site_fract_z
Ge1 Ge 0.500 0.500 0.000
O1 O 0.941 0.611 0.670
O2 O 0.941 0.271 0.330
O3 O 0.334 0.140 0.806
O4 O 0.471 0.666 0.806
O5 O 0.860 0.666 0.194
O6 O 0.729 0.059 0.670
O7 O 0.334 0.529 0.194
Ac1 Ac 0.000 0.000 0.000
Ge2 Ge 0.750 0.250 0.500
O8 O 0.389 0.059 0.330
Pu1 Pu 0.250 0.750 0.500
```

2.
DFT (PBE) results for a relaxed structure of Rb3AcGe2O8.

* crystal system: trigonal
* total moment: 2.05 Bohr magnetons per cell
* formation energy (no corrections): -1.818 eV per atom

Geometry as CIF:
```
data_Rb3AcGe2O8
_cell_length_a 6.303
_cell_length_b 6.303
_cell_length_c 8.311
_cell_angle_alpha 90.00
_cell_angle_beta 90.00
_cell_angle_gamma 120.00
_space_group_name_H-M_alt 'P 1'
_space_group_IT_number 1
loop_
_space_group_symop_operation_xyz
'x,y,z'
loop_
_atom_site_label
_atom_site_type_symbol
_atom_site_fract_x
_atom_site_fract_y
_atom_site_fract_z
O1 O 0.642 0.821 0.319
O2 O 0.179 0.821 0.319
Rb1 Rb 0.000 0.000 0.000
Ge1 Ge 0.333 0.667 0.252
O3 O 0.821 0.642 0.681
O4 O 0.358 0.179 0.681
O5 O 0.179 0.358 0.319
O6 O 0.667 0.333 0.962
Rb2 Rb 0.333 0.667 0.708
O7 O 0.333 0.667 0.038
Ge2 Ge 0.667 0.333 0.748
Rb3 Rb 0.667 0.333 0.292
O8 O 0.821 0.179 0.681
Ac1 Ac 0.000 0.000 0.500
```

3.
DFT (PBE) results for a relaxed structure of Rb2AcGe2O6.

* crystal system: monoclinic
* total moment: 0.93 Bohr magnetons per cell
* formation energy (no corrections): -2.006 eV per atom

Geometry as CIF:
```
data_Rb2AcGe2O6
_cell_length_a 6.331
_cell_length_b 6.324
_cell_length_c 7.412
_cell_angle_alpha 116.87
_cell_angle_beta 90.00
_cell_angle_gamma 120.03
_space_group_name_H-M_alt 'P 1'
_space_group_IT_number 1
loop_
_space_group_symop_operation_xyz
'x,y,z'
loop_
_atom_site_label
_atom_site_type_symbol
_atom_site_fract_x
_atom_site_fract_y
_atom_site_fract_z
O1 O 0.763 0.527 0.671
Rb1 Rb 0.292 0.585 0.833
Rb2 Rb 0.708 0.415 0.167
O2 O 0.237 0.473 0.329
Ge1 Ge 0.950 0.900 0.794
Ge2 Ge 0.050 0.100 0.206
Ac1 Ac 0.500 0.000 0.500
O3 O 0.792 0.050 0.764
O4 O 0.258 0.050 0.764
O5 O 0.208 0.950 0.236
O6 O 0.742 0.950 0.236
```

no.,density of states at the Fermi level (states/eV/atom)
1,0.621
2,0.789
3,0.135